1.
Crystalline GdYFe4 at its relaxed geometry, computed with PBE-GGA.

## Properties
Mass density (g cm⁻³): 8.046

Cell: 5.156 5.156 5.156 Å, 60.00 60.00 60.00°
Last column: magnetic moment on the atom in μB.
Sites, in units of the cell vectors:
Fe  0.625  0.124  0.625  2.04
Fe  0.625  0.625  0.124  2.04
Y  0.250  0.250  0.250  -0.35
Gd  0.000  0.000  0.000  6.67
Fe  0.124  0.625  0.625  2.04
Fe  0.625  0.625  0.625  2.04


2.
Crystalline Gd3Y3Fe23 at its relaxed geometry, computed with PBE-GGA.

## Properties
Mass density (g cm⁻³): 7.716

Cell: 8.506 8.506 8.507 Å, 90.01 60.01 120.00°
Last column: magnetic moment on the atom in μB.
Sites, in units of the cell vectors:
Gd  0.000  0.711  0.710  6.67
Y  0.421  0.710  0.289  -0.37
Fe  0.244  0.878  0.878  2.48
Fe  0.244  0.366  0.878  2.50
Fe  0.352  0.676  0.676  2.28
Fe  0.756  0.122  0.122  2.50
Y  0.000  0.290  0.290  -0.38
Fe  0.352  0.028  0.324  2.26
Fe  0.000  0.000  0.499  2.15
Fe  0.501  0.501  0.499  2.16
Fe  0.000  0.000  0.001  2.43
Fe  0.244  0.122  0.635  2.48
Fe  0.499  0.999  0.001  2.16
Fe  0.500  0.500  0.001  2.15
Gd  0.580  0.290  0.710  -7.37
Fe  0.647  0.324  0.029  2.29
Fe  0.500  0.000  0.499  2.15
Fe  0.648  0.676  0.676  2.28
Y  0.000  0.710  0.289  -0.37
Fe  0.352  0.676  0.973  2.28
Fe  0.244  0.122  0.122  2.50
Fe  0.756  0.634  0.122  2.48
Fe  0.648  0.972  0.676  2.31
Gd  0.000  0.290  0.710  -7.37
Fe  0.757  0.878  0.878  2.48
Fe  0.756  0.878  0.366  2.50
Fe  0.648  0.324  0.324  2.30
Fe  0.000  0.500  0.001  2.15
Fe  0.352  0.324  0.324  2.30


3.
Crystalline GdZnFe4 at its relaxed geometry, computed with PBE-GGA.

## Properties
Mass density (g cm⁻³): 8.405

Cell: 4.995 4.995 4.995 Å, 60.00 60.00 60.00°
Last column: magnetic moment on the atom in μB.
Sites, in units of the cell vectors:
Fe  0.626  0.626  0.123  2.20
Gd  0.250  0.250  0.250  6.78
Zn  0.000  0.000  0.000  -0.06
Fe  0.626  0.123  0.626  2.20
Fe  0.123  0.626  0.626  2.20
Fe  0.626  0.626  0.626  2.20


no.,final energy (eV per atom)
1,-9.0851
2,-8.8675
3,-8.1735